Material: Mg6NiIr
Method: DFT, PBE
State: relaxed

formation enthalpy at 0 K	0.0272	eV per atom

a = 6.0188 Å, b = 6.0188 Å, c = 5.9288 Å
α = 102.51°, β = 102.51°, γ = 121.92°
Last column: nearest neighbours and their distance in Å.
Positions (direct):
1 Mg 0.2447 0.2447 0.7543  1 Ni 2.45, 1 Ir 2.55
2 Mg 0.4386 0.0506 0.2480  1 Ni 2.55, 1 Ir 2.58
3 Mg 0.7553 0.7553 0.2457  1 Ni 2.45, 1 Ir 2.55
4 Mg 0.9494 0.5614 0.7520  1 Ni 2.55, 1 Ir 2.58
5 Mg 0.5614 0.9494 0.7520  1 Ni 2.55, 1 Ir 2.58
6 Mg 0.0506 0.4386 0.2480  1 Ni 2.55, 1 Ir 2.58
7 Ni 0.0000 0.0000 0.0000  6 Mg 2.45-2.55
8 Ir 0.5000 0.5000 0.5000  6 Mg 2.55-2.58

Material: MgNiIr2
Method: DFT, PBE
State: relaxed

formation enthalpy at 0 K	-0.0344	eV per atom

a = 5.1671 Å, b = 5.1671 Å, c = 5.1671 Å
α = 147.58°, β = 129.85°, γ = 61.00°
Last column: nearest neighbours and their distance in Å.
Positions (direct):
1 Ir 0.0063 0.0063 0.0000  2 Ni 2.56, 4 Mg 2.63, 2 Ir 2.64
2 Ir 0.7582 0.2582 0.5000  4 Ni 2.63, 4 Ir 2.64-2.89, 2 Mg 2.77
3 Mg 0.4923 0.4923 0.0000  6 Ir 2.63-2.77, 2 Ni 2.65, 2 Mg 2.89
4 Ni 0.2432 0.7432 0.5000  6 Ir 2.56-2.63, 2 Mg 2.65

Material: MgNi2Ir
Method: DFT, PBE
State: relaxed

formation enthalpy at 0 K	-0.0090	eV per atom

a = 3.0821 Å, b = 3.0821 Å, c = 5.6924 Å
α = 90.00°, β = 90.00°, γ = 90.00°
Last column: nearest neighbours and their distance in Å.
Positions (direct):
1 Ir 0.5000 0.5000 0.2500  8 Ni 2.54
2 Mg 0.5000 0.5000 0.7500  8 Ni 2.67, 2 Ir 2.85
3 Ni 0.0000 0.0000 0.0216  4 Ir 2.54, 1 Ni 2.60, 4 Mg 2.67
4 Ni 0.0000 0.0000 0.4784  4 Ir 2.54, 1 Ni 2.60, 4 Mg 2.67

Material: MgNiIr2
Method: DFT, PBE
State: relaxed

formation enthalpy at 0 K	-0.0721	eV per atom

a = 4.2395 Å, b = 4.2395 Å, c = 3.0491 Å
α = 90.00°, β = 90.00°, γ = 90.00°
Last column: nearest neighbours and their distance in Å.
Positions (direct):
1 Ir 0.0000 0.0000 0.0000  4 Ni 2.61, 4 Mg 2.61
2 Ir 0.5000 0.5000 0.0000  4 Mg 2.61, 4 Ni 2.61
3 Mg 0.5000 0.0000 0.5000  8 Ir 2.61
4 Ni 0.0000 0.5000 0.5000  8 Ir 2.61

Material: MgNiIr3
Method: DFT, PBE
State: relaxed

formation enthalpy at 0 K	1.1156	eV per atom
E above lowest polymorph	0	meV per atom

a = 4.5012 Å, b = 4.5012 Å, c = 4.5012 Å
α = 90.00°, β = 90.00°, γ = 90.00°
Last column: nearest neighbours and their distance in Å.
Positions (direct):
1 Ni 0.0000 0.0000 0.0000  6 Ir 2.25
2 Mg 0.5000 0.5000 0.5000  12 Ir 3.18
3 Ir 0.0000 0.5000 0.0000  2 Ni 2.25
4 Ir 0.0000 0.0000 0.5000  2 Ni 2.25
5 Ir 0.5000 0.0000 0.0000  2 Ni 2.25

Material: MgNi2Ir
Method: DFT, PBE
State: relaxed

formation enthalpy at 0 K	-0.1470	eV per atom

a = 6.0123 Å, b = 4.4719 Å, c = 2.7117 Å
α = 90.00°, β = 63.18°, γ = 122.37°
Last column: nearest neighbours and their distance in Å.
Positions (direct):
1 Ir 0.0000 0.5000 0.5000  8 Ni 2.61, 2 Mg 2.68, 2 Ir 2.71
2 Mg 0.5000 0.5000 0.0000  8 Ni 2.61, 2 Ir 2.68, 2 Mg 2.71
3 Ni 0.0000 0.0000 0.0000  4 Ir 2.61, 4 Mg 2.61, 4 Ni 2.68-2.71
4 Ni 0.5000 0.0000 0.5000  4 Mg 2.61, 4 Ir 2.61, 4 Ni 2.68-2.71

Question: Which value of formation enthalpy at 0 K does entry 5 give?
Answer: 1.1156 eV per atom

Question: Among the records above, which one has the lowest formation enthalpy at 0 K?
Answer: number 6